(1)
Compound: SrLaMo2
Source: Alexandria
Functional: PBE
Structure: optimized geometry

Values from the calculation:
**Final energy**: -23.6 eV/cell
**Space group**: P4/mmm, No. 123

abc: 5.1967 5.1967 3.7756
angles: 90.00 90.00 89.98
With the nearest neighbours (Å) after each atom.
Element x y z (fractional)
La  0.0000  0.5000  0.5000  8 Mo 3.21
Mo  0.0000  0.0000  0.0000  4 La 3.21, 4 Sr 3.21
Mo  0.5000  0.5000  0.0000  4 Sr 3.21, 4 La 3.21
Sr  0.5000  0.0000  0.5000  8 Mo 3.21

=====

(2)
Compound: SrLaMo2
Source: Alexandria
Functional: PBE
Structure: optimized geometry

Values from the calculation:
**Final energy**: -23.5 eV/cell
**Space group**: Fm-3m, No. 225

abc: 5.2414 5.2414 5.2414
angles: 60.00 60.00 60.00
With the nearest neighbours (Å) after each atom.
Element x y z (fractional)
Mo  0.2500  0.2500  0.2500  4 La 3.21, 4 Sr 3.21
Mo  0.7500  0.7500  0.7500  4 La 3.21, 4 Sr 3.21
Sr  0.0000  0.0000  0.0000  8 Mo 3.21
La  0.5000  0.5000  0.5000  8 Mo 3.21

=====

(3)
Compound: SrLa2Mo
Source: Alexandria
Functional: PBE
Structure: optimized geometry

Values from the calculation:
**Final energy**: -19.6 eV/cell
**Space group**: I-4m2, No. 119

abc: 5.9713 5.9713 5.9713
angles: 130.85 130.85 72.05
With the nearest neighbours (Å) after each atom.
Element x y z (fractional)
La  0.2500  0.7500  0.5000  4 La 3.46, 4 Mo 3.46, 4 Sr 3.51
La  0.0000  0.0000  0.0000  4 La 3.46, 4 Sr 3.46, 4 Mo 3.51
Mo  0.5000  0.5000  0.0000  4 Sr 3.46, 8 La 3.46-3.51
Sr  0.7500  0.2500  0.5000  4 Mo 3.46, 8 La 3.46-3.51

=====

(4)
Compound: SrLaMo2
Source: Alexandria
Functional: PBE
Structure: optimized geometry

Values from the calculation:
**Final energy**: -25.2 eV/cell
**Space group**: P2/m, No. 10

abc: 5.1508 3.4168 6.8906
angles: 82.61 90.00 90.00
With the nearest neighbours (Å) after each atom.
Element x y z (fractional)
Sr  0.5000  0.2500  0.2500  2 Sr 3.42, 2 La 3.64, 4 Mo 3.80
La  0.5000  0.7500  0.7500  4 Mo 2.88
Mo  0.0000  0.9845  0.8825  2 Mo 2.40-2.58
Mo  0.0000  0.5155  0.6175  2 Mo 2.40-2.58

=====

(5)
Compound: SrLa2Mo
Source: Alexandria
Functional: PBE
Structure: optimized geometry

Values from the calculation:
**Final energy**: -19.7 eV/cell
**Space group**: P4/mmm, No. 123

abc: 5.1226 5.1226 4.6283
angles: 90.00 90.00 90.00
With the nearest neighbours (Å) after each atom.
Element x y z (fractional)
La  0.0000  0.0000  0.0000  4 Mo 3.45, 4 Sr 3.45, 4 La 3.62
La  0.5000  0.5000  0.0000  4 Mo 3.45, 4 Sr 3.45, 4 La 3.62
Sr  0.0000  0.5000  0.5000  8 La 3.45, 4 Mo 3.62
Mo  0.5000  0.0000  0.5000  8 La 3.45, 4 Sr 3.62

=====

(6)
Compound: SrLa2Mo
Source: Alexandria
Functional: PBE
Structure: optimized geometry

Values from the calculation:
**Final energy**: -20.3 eV/cell
**Space group**: P4mm, No. 99

abc: 3.9031 3.9031 8.6123
angles: 90.00 90.00 90.00
With the nearest neighbours (Å) after each atom.
Element x y z (fractional)
Sr  0.5000  0.5000  0.6942  1 La 3.39, 4 Mo 3.54
Mo  0.0000  0.0000  0.4369  5 La 3.00-3.17
La  0.5000  0.5000  0.3001  4 Mo 3.00
La  0.0000  0.0000  0.0689  1 Mo 3.17, 4 La 3.40

=====

(7)
Compound: SrLaMo2
Source: Alexandria
Functional: PBE
Structure: optimized geometry

Values from the calculation:
**Final energy**: -23.6 eV/cell
**Space group**: R-3m, No. 166

abc: 9.7356 9.7356 9.7356
angles: 19.98 19.98 19.98
With the nearest neighbours (Å) after each atom.
Element x y z (fractional)
Mo  0.0098  0.0098  0.0098  3 La 2.87
Mo  0.4902  0.4902  0.4902  3 La 2.87
La  0.7500  0.7500  0.7500  6 Mo 2.87
Sr  0.2500  0.2500  0.2500  6 Mo 3.30, 6 Sr 3.38

=====

(8)
Compound: SrLaMo3
Source: Alexandria
Functional: PBE
Structure: optimized geometry

Values from the calculation:
**Final energy**: -29.8 eV/cell
**Space group**: Pm-3m, No. 221

abc: 4.9707 4.9707 4.9707
angles: 90.00 90.00 90.00
With the nearest neighbours (Å) after each atom.
Element x y z (fractional)
La  0.0000  0.0000  0.0000  6 Mo 2.49
Mo  0.0000  0.0000  0.5000  2 La 2.49
Mo  0.0000  0.5000  0.0000  2 La 2.49
Mo  0.5000  0.0000  0.0000  2 La 2.49
Sr  0.5000  0.5000  0.5000  12 Mo 3.51